# 1
The following is a DFT calculation (PBE) of a relaxed structure of KHPb2.

Spin magnetization in Bohr magnetons per cell: 0.00
E above lowest polymorph in meV per atom: 0
Fermi-level density of states in states/eV/f.u.: 1.7

Cell and atoms, written as CIF:
```
data_KHPb2
_chemical_formula_sum 'K4 H4 Pb8'
_symmetry_space_group_name_H-M 'I -4 2 d'
_symmetry_Int_Tables_number 122
_symmetry_space_group_name_Hall 'I -4 2bw'
_cell_length_a 7.1722
_cell_length_b 7.1722
_cell_length_c 9.8115
_cell_angle_alpha 90.00
_cell_angle_beta 90.00
_cell_angle_gamma 90.00
loop_
_atom_site_label
_atom_site_type_symbol
_atom_site_fract_x
_atom_site_fract_y
_atom_site_fract_z
K1 K 0.0000 0.0000 0.0000
H1 H 0.0000 0.0000 0.5000
Pb1 Pb 0.0550 0.2500 0.6250
```

# 2
The following is a DFT calculation (PBE) of a relaxed structure of K2H6Pb.

Spin magnetization in Bohr magnetons per cell: 0.00
Energy in eV per atom: -2.684
Fermi-level density of states in states/eV/f.u.: 0.4

Cell and atoms, written as CIF:
```
data_K2H6Pb
_chemical_formula_sum 'K8 H24 Pb4'
_symmetry_space_group_name_H-M 'F m -3 m'
_symmetry_Int_Tables_number 225
_symmetry_space_group_name_Hall '-F 4 2 3'
_cell_length_a 8.2496
_cell_length_b 8.2496
_cell_length_c 8.2496
_cell_angle_alpha 90.00
_cell_angle_beta 90.00
_cell_angle_gamma 90.00
loop_
_atom_site_label
_atom_site_type_symbol
_atom_site_fract_x
_atom_site_fract_y
_atom_site_fract_z
K1 K 0.2500 0.2500 0.2500
H1 H 0.0000 0.0000 0.2388
Pb1 Pb 0.0000 0.0000 0.0000
```

# 3
The following is a DFT calculation (PBE) of a relaxed structure of K2HPb2.

Spin magnetization in Bohr magnetons per cell: 0.00
Energy in eV per atom: -2.358
Fermi-level density of states in states/eV/f.u.: 4.3

Cell and atoms, written as CIF:
```
data_K2HPb2
_chemical_formula_sum 'K4 H2 Pb4'
_symmetry_space_group_name_H-M 'I 4/m m m'
_symmetry_Int_Tables_number 139
_symmetry_space_group_name_Hall '-I 4 2'
_cell_length_a 7.1987
_cell_length_b 7.1987
_cell_length_c 7.2612
_cell_angle_alpha 90.00
_cell_angle_beta 90.00
_cell_angle_gamma 90.00
loop_
_atom_site_label
_atom_site_type_symbol
_atom_site_fract_x
_atom_site_fract_y
_atom_site_fract_z
K1 K 0.0000 0.5000 0.2500
H1 H 0.0000 0.0000 0.0000
Pb1 Pb 0.0000 0.0000 0.2944
```

# 4
The following is a DFT calculation (PBE) of a relaxed structure of KHPb.

Spin magnetization in Bohr magnetons per cell: 0.00
E above lowest polymorph in meV per atom: 28
Fermi-level density of states in states/eV/f.u.: 0.5

Cell and atoms, written as CIF:
```
data_KHPb
_chemical_formula_sum 'K4 H4 Pb4'
_symmetry_space_group_name_H-M 'C 1 2/m 1'
_symmetry_Int_Tables_number 12
_cell_length_a 12.8567
_cell_length_b 5.4895
_cell_length_c 5.0850
_cell_angle_alpha 90.00
_cell_angle_beta 102.94
_cell_angle_gamma 90.00
loop_
_symmetry_equiv_pos_as_xyz
'x,y,z'
'-x,-y,-z'
'-x,y,-z'
'x,-y,z'
'x+1/2,y+1/2,z'
'-x+1/2,-y+1/2,-z'
'-x+1/2,y+1/2,-z'
'x+1/2,-y+1/2,z'
loop_
_atom_site_label
_atom_site_type_symbol
_atom_site_fract_x
_atom_site_fract_y
_atom_site_fract_z
K1 K 0.1513 0.0000 0.3394
H1 H 0.1948 0.5000 0.1655
Pb1 Pb 0.0799 0.5000 0.8323
```

# 5
The following is a DFT calculation (PBE) of a relaxed structure of KH2Pb.

Spin magnetization in Bohr magnetons per cell: 1.81
E above lowest polymorph in meV per atom: 432
Fermi-level density of states in states/eV/f.u.: 2.1

Cell and atoms, written as CIF:
```
data_KH2Pb
_chemical_formula_sum 'K4 H8 Pb4'
_symmetry_space_group_name_H-M 'F m -3 m'
_symmetry_Int_Tables_number 225
_symmetry_space_group_name_Hall '-F 4 2 3'
_cell_length_a 6.6346
_cell_length_b 6.6346
_cell_length_c 6.6346
_cell_angle_alpha 90.00
_cell_angle_beta 90.00
_cell_angle_gamma 90.00
loop_
_atom_site_label
_atom_site_type_symbol
_atom_site_fract_x
_atom_site_fract_y
_atom_site_fract_z
K1 K 0.0000 0.0000 0.0000
H1 H 0.2500 0.2500 0.2500
Pb1 Pb 0.0000 0.0000 0.5000
```

# 6
The following is a DFT calculation (PBE) of a relaxed structure of KHPb.

Spin magnetization in Bohr magnetons per cell: 0.00
E above lowest polymorph in meV per atom: 0
Fermi-level density of states in states/eV/f.u.: 1.5

Cell and atoms, written as CIF:
```
data_KHPb
_chemical_formula_sum 'K4 H4 Pb4'
_symmetry_space_group_name_H-M 'C 1 2/m 1'
_symmetry_Int_Tables_number 12
_cell_length_a 5.6422
_cell_length_b 5.6415
_cell_length_c 9.7841
_cell_angle_alpha 90.00
_cell_angle_beta 90.00
_cell_angle_gamma 90.00
loop_
_symmetry_equiv_pos_as_xyz
'x,y,z'
'-x,-y,-z'
'-x,y,-z'
'x,-y,z'
'x+1/2,y+1/2,z'
'-x+1/2,-y+1/2,-z'
'-x+1/2,y+1/2,-z'
'x+1/2,-y+1/2,z'
loop_
_atom_site_label
_atom_site_type_symbol
_atom_site_fract_x
_atom_site_fract_y
_atom_site_fract_z
K1 K 0.2489 0.0000 0.3519
H1 H 0.2486 0.5000 0.3602
Pb1 Pb 0.2502 0.0000 0.9153
```

# 7
The following is a DFT calculation (PBE) of a relaxed structure of KHPb2.

Spin magnetization in Bohr magnetons per cell: 0.00
E above lowest polymorph in meV per atom: 470
Fermi-level density of states in states/eV/f.u.: 1.6

Cell and atoms, written as CIF:
```
data_KHPb2
_chemical_formula_sum 'K4 H4 Pb8'
_symmetry_space_group_name_H-M 'F m -3 m'
_symmetry_Int_Tables_number 225
_symmetry_space_group_name_Hall '-F 4 2 3'
_cell_length_a 7.5930
_cell_length_b 7.5930
_cell_length_c 7.5930
_cell_angle_alpha 90.00
_cell_angle_beta 90.00
_cell_angle_gamma 90.00
loop_
_atom_site_label
_atom_site_type_symbol
_atom_site_fract_x
_atom_site_fract_y
_atom_site_fract_z
K1 K 0.0000 0.0000 0.0000
H1 H 0.0000 0.0000 0.5000
Pb1 Pb 0.2500 0.2500 0.2500
```

# 8
The following is a DFT calculation (PBE) of a relaxed structure of K2H2Pb.

Spin magnetization in Bohr magnetons per cell: 0.00
E above lowest polymorph in meV per atom: 187
Fermi-level density of states in states/eV/f.u.: 2.6

Cell and atoms, written as CIF:
```
data_K2H2Pb
_chemical_formula_sum 'K4 H4 Pb2'
_symmetry_space_group_name_H-M 'P 4/m b m'
_symmetry_Int_Tables_number 127
_symmetry_space_group_name_Hall '-P 4 2ab'
_cell_length_a 8.7650
_cell_length_b 8.7650
_cell_length_c 3.1709
_cell_angle_alpha 90.00
_cell_angle_beta 90.00
_cell_angle_gamma 90.00
loop_
_atom_site_label
_atom_site_type_symbol
_atom_site_fract_x
_atom_site_fract_y
_atom_site_fract_z
K1 K 0.1351 0.3649 0.0000
H1 H 0.1385 0.6385 0.5000
Pb1 Pb 0.0000 0.0000 0.0000
```

Which of these has the lowest Fermi-level density of states?
K2H6Pb